(1)
A plane-wave DFT calculation with GGA+U was carried out for a relaxed CoHNF2 crystal.

Calculated values
- volume (Å³ per cell) = 44
- crystal system = tetragonal
- DFT total energy (eV/atom) = -3.967

Cell: 4.051 4.051 2.659 Å, 90.00 90.00 90.00°
Space group P4/mmm (No. 123)
Inequivalent atoms, fractional coordinates:
Co 0.000 0.000 0.000
H 0.500 0.500 0.500
N 0.500 0.500 0.000
F 0.000 0.500 0.500

(2)
A plane-wave DFT calculation with GGA+U was carried out for a relaxed CoHNF2 crystal.

Calculated values
- volume (Å³ per cell) = 54
- crystal system = tetragonal
- DFT total energy (eV/atom) = -3.921

Cell: 3.927 3.927 3.510 Å, 90.00 90.00 90.00°
Space group P4/mmm (No. 123)
Inequivalent atoms, fractional coordinates:
Co 0.000 0.000 0.000
H 0.500 0.500 0.500
N 0.000 0.000 0.500
F 0.000 0.500 0.000

(3)
A plane-wave DFT calculation with GGA+U was carried out for a relaxed NaCoH2F8 crystal.

Calculated values
- volume (Å³ per cell) = 147
- crystal system = triclinic
- DFT total energy (eV/atom) = -3.999

Cell: 4.688 4.944 6.690 Å, 98.99 91.59 105.44°
Space group P-1 (No. 2)
Inequivalent atoms, fractional coordinates:
Na 0.000 0.000 0.000
Co 0.000 0.000 0.500
H 0.277 0.536 0.828
F 0.219 0.200 0.331
F 0.225 0.773 0.482
F 0.228 0.221 0.721
F 0.303 0.700 0.935

(4)
A plane-wave DFT calculation with GGA+U was carried out for a relaxed Na2CoHF6 crystal.

Calculated values
- volume (Å³ per cell) = 253
- crystal system = monoclinic
- DFT total energy (eV/atom) = -4.403

Cell: 5.812 4.633 11.040 Å, 90.00 121.66 90.00°
Space group P2_1/c (No. 14)
Inequivalent atoms, fractional coordinates:
Na 0.189 0.000 0.189
Co 0.500 0.000 0.000
H 0.000 0.000 0.500
F 0.116 0.205 0.500
F 0.217 0.699 0.361
F 0.493 0.701 0.638

(5)
A plane-wave DFT calculation with GGA+U was carried out for a relaxed NaCoH2F crystal.

Calculated values
- volume (Å³ per cell) = 70
- crystal system = tetragonal
- DFT total energy (eV/atom) = -2.432

Cell: 4.253 4.253 3.887 Å, 90.00 90.00 90.00°
Space group P4/mmm (No. 123)
Inequivalent atoms, fractional coordinates:
Na 0.000 0.000 0.000
Co 0.500 0.500 0.000
H 0.000 0.500 0.500
F 0.000 0.000 0.500

(6)
A plane-wave DFT calculation with GGA+U was carried out for a relaxed NaCoH4SO6F crystal.

Calculated values
- volume (Å³ per cell) = 284
- crystal system = monoclinic
- DFT total energy (eV/atom) = -5.399

Cell: 5.810 7.380 7.220 Å, 90.00 113.22 90.00°
Space group P2_1/m (No. 11)
Inequivalent atoms, fractional coordinates:
Na 0.124 0.250 0.197
Co 0.500 0.000 0.000
H 0.074 0.071 0.695
H 0.200 0.592 0.623
S 0.345 0.750 0.305
O 0.157 0.750 0.404
O 0.169 0.544 0.739
O 0.292 0.585 0.174
O 0.399 0.250 0.541
F 0.370 0.250 0.021

(7)
A plane-wave DFT calculation with GGA+U was carried out for a relaxed CoHOF2 crystal.

Calculated values
- volume (Å³ per cell) = 56
- crystal system = tetragonal
- DFT total energy (eV/atom) = -3.913

Cell: 3.943 3.943 3.623 Å, 90.00 90.00 90.00°
Space group P4/mmm (No. 123)
Inequivalent atoms, fractional coordinates:
Co 0.000 0.000 0.000
H 0.500 0.500 0.500
O 0.000 0.000 0.500
F 0.000 0.500 0.000

(8)
A plane-wave DFT calculation with GGA+U was carried out for a relaxed CoHO2F crystal.

Calculated values
- volume (Å³ per cell) = 54
- crystal system = tetragonal
- DFT total energy (eV/atom) = -4.034

Cell: 3.571 3.571 4.205 Å, 90.00 90.00 90.00°
Space group P4/mmm (No. 123)
Inequivalent atoms, fractional coordinates:
Co 0.000 0.000 0.000
H 0.500 0.500 0.500
O 0.000 0.500 0.000
F 0.000 0.000 0.500

(9)
A plane-wave DFT calculation with GGA+U was carried out for a relaxed CoHOF2 crystal.

Calculated values
- volume (Å³ per cell) = 44
- crystal system = tetragonal
- DFT total energy (eV/atom) = -3.920

Cell: 2.988 2.988 4.966 Å, 90.00 90.00 90.00°
Space group P4/mmm (No. 123)
Inequivalent atoms, fractional coordinates:
Co 0.000 0.000 0.000
H 0.500 0.500 0.500
O 0.500 0.500 0.000
F 0.000 0.500 0.500

(10)
A plane-wave DFT calculation with GGA+U was carried out for a relaxed CoHO2F crystal.

Calculated values
- volume (Å³ per cell) = 41
- crystal system = tetragonal
- DFT total energy (eV/atom) = -3.999

Cell: 4.071 4.071 2.482 Å, 90.00 90.00 90.00°
Space group P4/mmm (No. 123)
Inequivalent atoms, fractional coordinates:
Co 0.000 0.000 0.000
H 0.500 0.500 0.500
O 0.000 0.500 0.500
F 0.500 0.500 0.000

(11)
A plane-wave DFT calculation with GGA+U was carried out for a relaxed CoPH6O6F crystal.

Calculated values
- volume (Å³ per cell) = 278
- crystal system = triclinic
- DFT total energy (eV/atom) = -5.593

Cell: 4.805 5.672 10.368 Å, 83.58 81.59 89.85°
Space group P-1 (No. 2)
Inequivalent atoms, fractional coordinates:
Co 0.000 0.000 0.000
Co 0.500 0.000 0.500
P 0.066 0.835 0.306
H 0.129 0.255 0.389
H 0.250 0.814 0.792
H 0.265 0.429 0.922
H 0.341 0.460 0.407
H 0.458 0.774 0.901
H 0.492 0.223 0.895
O 0.144 0.973 0.655
O 0.200 0.882 0.161
O 0.261 0.754 0.886
O 0.278 0.771 0.399
O 0.314 0.264 0.952
O 0.327 0.288 0.397
F 0.117 0.403 0.687

(12)
A plane-wave DFT calculation with GGA+U was carried out for a relaxed CoSiH12O6F6 crystal.

Calculated values
- volume (Å³ per cell) = 774
- crystal system = trigonal
- DFT total energy (eV/atom) = -5.108

Cell: 9.5728 9.5728 9.7466 Å, 90.00 90.00 120.00°
Space group R-3 (No. 148, hexagonal axes)
Inequivalent atoms, fractional coordinates:
Co 0.0000 0.0000 0.0000
Si 0.0000 0.0000 0.5000
H 0.0148 0.1787 0.7785
H 0.0374 0.5738 0.7764
O 0.0074 0.8242 0.1228
F 0.0605 0.1672 0.6020